Record 1
CaInOs2 | PBE | relaxed

Structure (POSCAR):
```
CaInOs2
1.0
1.6169 -2.4128 0.0000
1.6169 2.4128 0.0000
0.0000 0.0000 9.2662
Ca In Os
1 1 2
Cartesian
0.0000 0.0000 0.0000
0.0000 0.0000 4.6331
1.6169 0.0000 2.4129
1.6169 0.0000 6.8533
```

Values from the calculation:
- formation energy from the elements (eV/atom) = 0.758
- E (eV for the cell shown) = -24.168
- magnetic moment (Bohr magnetons per cell) = 0.00

***

Record 2
CaInOs | PBE | relaxed

Structure (POSCAR):
```
CaInOs
1.0
3.2487 0.0000 0.0000
-1.6244 2.8135 0.0000
0.0000 0.0000 7.0848
Ca In Os
1 1 1
Cartesian
0.0000 0.0000 0.0000
1.6244 0.9378 2.8256
0.0000 1.8756 4.8860
```

Values from the calculation:
- formation energy from the elements (eV/atom) = 0.506
- E (eV for the cell shown) = -14.452
- magnetic moment (Bohr magnetons per cell) = 0.00

***

Record 3
CaIn4Os | PBE | relaxed

Structure (POSCAR):
```
CaIn4Os
1.0
0.0000 4.1271 4.1271
4.1271 0.0000 4.1271
4.1271 4.1271 0.0000
Ca In Os
1 4 1
Cartesian
0.0000 0.0000 0.0000
5.1541 3.1002 3.1002
3.1002 5.1541 3.1002
3.1002 3.1002 5.1541
5.1541 5.1541 5.1541
2.0636 2.0636 2.0636
```

Values from the calculation:
- formation energy from the elements (eV/atom) = 0.495
- E (eV for the cell shown) = -21.215
- magnetic moment (Bohr magnetons per cell) = 1.07